The following is a GGA+U calculation of a relaxed structure of PaCoBi2O8, from Alexandria.

Lattice parameters (Å, degrees): 5.0487 5.0487 6.7987 90.00 90.00 90.58
Fractional positions:
Pa: 0.0000 0.0000 0.0000
Co: 0.0000 0.0000 0.5000
Bi: 0.5000 0.5000 0.2617
Bi: 0.5000 0.5000 0.7383
O: 0.1891 0.1891 0.2482
O: 0.1891 0.1891 0.7518
O: 0.2913 0.7087 0.5000
O: 0.3113 0.6887 0.0000
O: 0.6887 0.3113 0.0000
O: 0.7087 0.2913 0.5000
O: 0.8109 0.8109 0.2482
O: 0.8109 0.8109 0.7518

Calculated values
For the calculated volume, the calculation gives 173.28 Å³/f.u. The space group is Cmmm. For the total energy, the calculation gives -6.8430 eV per atom.